Ti3BeIr | GGA-PBE | optimized geometry

Unit cell a=4.2702 b=4.2702 c=4.2702 alpha=90.00 beta=90.00 gamma=90.00
With the nearest neighbours (Å) after each atom.
Space group Pm-3m (No. 221)
Asymmetric unit:
Ti 0.0000 0.0000 0.5000  2 Be 2.14
Be 0.0000 0.0000 0.0000  6 Ti 2.14
Ir 0.5000 0.5000 0.5000  12 Ti 3.02

Crystal system = cubic
Energy relative to the lowest polymorph listed for this composition = 0 meV/atom
DOS(E_F) = 1.6258 states/eV per atom
ΔE_f = 270 meV/atom
Magnetic moment = 0.00 μB per atom

=====

TiBe4Ir | GGA-PBE | optimized geometry

Unit cell a=6.2126 b=6.2126 c=6.2126 alpha=90.00 beta=90.00 gamma=90.00
With the nearest neighbours (Å) after each atom.
Space group F-43m (No. 216)
Asymmetric unit:
Ti 0.0000 0.0000 0.0000  12 Be 2.57, 4 Ir 2.69
Be 0.1257 0.1257 0.6257  6 Be 2.18-2.21
Ir 0.2500 0.2500 0.2500  12 Be 2.58, 4 Ti 2.69

Crystal system = cubic
DOS(E_F) = 0.4581 states/eV per atom
ΔE_f = -595 meV/atom
Magnetic moment = 0.00 μB per atom

=====

Ti2Be3Ir | GGA-PBE | optimized geometry

Unit cell a=4.6866 b=4.6866 c=11.4734 alpha=90.00 beta=90.00 gamma=120.00
With the nearest neighbours (Å) after each atom.
Space group R-3m (No. 166, hexagonal axes)
Asymmetric unit:
Ti 0.0000 0.0000 0.1239  9 Be 2.74-2.76, 3 Ir 2.75, 4 Ti 2.84-2.88
Be 0.0000 0.5000 0.0000  2 Ir 2.34, 4 Be 2.34
Ir 0.0000 0.0000 0.5000  6 Be 2.34

Crystal system = trigonal
DOS(E_F) = 0.8394 states/eV per atom
ΔE_f = -475 meV/atom
Magnetic moment = 0.10 μB per atom

=====

TiBe9Ir2 | GGA-PBE | optimized geometry

Unit cell a=4.3584 b=4.3584 c=13.8580 alpha=90.00 beta=90.00 gamma=120.00
With the nearest neighbours (Å) after each atom.
Space group P6_3/mmc (No. 194)
Asymmetric unit:
Ti 0.3333 0.6667 0.2500  18 Be 2.52-2.81
Be 0.0000 0.0000 0.0000  6 Be 2.12
Be 0.0000 0.0000 0.2500  6 Be 2.19
Be 0.1695 0.3390 0.6219  7 Be 2.12-2.22
Be 0.3333 0.6667 0.7500  6 Be 2.16
Ir 0.3333 0.6667 0.0451  12 Be 2.43-2.62

Crystal system = hexagonal
Energy relative to the lowest polymorph listed for this composition = 0 meV/atom
DOS(E_F) = 0.3142 states/eV per atom
ΔE_f = -395 meV/atom
Magnetic moment = 0.02 μB per atom

=====

Ti2Be15Ir2 | GGA-PBE | optimized geometry

Unit cell a=7.6604 b=7.6604 c=11.0533 alpha=90.00 beta=90.00 gamma=120.00
With the nearest neighbours (Å) after each atom.
Space group R-3m (No. 166, hexagonal axes)
Asymmetric unit:
Ti 0.0000 0.0000 0.1522  1 Ir 2.56, 12 Be 2.66-2.82
Be 0.0000 0.2862 0.5000  8 Be 2.17-2.37
Be 0.0000 0.5000 0.0000  8 Be 2.17-2.24, 2 Ir 2.28
Be 0.0078 0.5039 0.6550  8 Be 2.17-2.37, 1 Ir 2.36
Ir 0.0000 0.0000 0.3838  12 Be 2.28-2.54

Crystal system = trigonal
DOS(E_F) = 0.3819 states/eV per atom
ΔE_f = -273 meV/atom
Magnetic moment = 0.00 μB per atom

=====

TiBe2Ir2 | GGA-PBE | optimized geometry

Unit cell a=6.5755 b=6.5755 c=2.7937 alpha=90.00 beta=90.00 gamma=90.00
With the nearest neighbours (Å) after each atom.
Space group P4/mbm (No. 127)
Asymmetric unit:
Ti 0.0000 0.0000 0.0000  4 Be 2.63, 2 Ti 2.79, 8 Ir 2.80
Be 0.1178 0.3822 0.0000  1 Be 2.19, 6 Ir 2.37-2.41
Ir 0.1759 0.6759 0.5000  6 Be 2.37-2.41

Crystal system = tetragonal
Energy relative to the lowest polymorph listed for this composition = 0 meV/atom
DOS(E_F) = 0.5922 states/eV per atom
ΔE_f = -687 meV/atom
Magnetic moment = 0.00 μB per atom

=====

Ti2BeIr | GGA-PBE | optimized geometry

Unit cell a=7.0011 b=7.0011 c=4.9242 alpha=90.00 beta=90.00 gamma=90.00
With the nearest neighbours (Å) after each atom.
Space group I-42d (No. 122)
Asymmetric unit:
Ti 0.2410 0.7500 0.1250  2 Ti 2.47, 2 Ir 2.51, 2 Be 2.59
Be 0.0000 0.0000 0.5000  2 Ir 2.46, 4 Ti 2.59
Ir 0.0000 0.0000 0.0000  2 Be 2.46, 4 Ti 2.51

Crystal system = tetragonal
DOS(E_F) = 1.0666 states/eV per atom
ΔE_f = 25 meV/atom
Magnetic moment = 0.00 μB per atom

=====

TiBe2Ir3 | GGA-PBE | optimized geometry

Unit cell a=2.9522 b=2.9522 c=8.6065 alpha=90.00 beta=90.00 gamma=90.00
With the nearest neighbours (Å) after each atom.
Space group P4/mmm (No. 123)
Asymmetric unit:
Ti 0.0000 0.0000 0.0000  8 Ir 2.61
Be 0.0000 0.0000 0.3543  8 Ir 2.44-2.57, 1 Be 2.51
Ir 0.5000 0.5000 0.1811  4 Be 2.57, 4 Ti 2.61, 1 Ir 2.74
Ir 0.5000 0.5000 0.5000  8 Be 2.44

Crystal system = tetragonal
DOS(E_F) = 0.4460 states/eV per atom
ΔE_f = -701 meV/atom
Magnetic moment = 0.00 μB per atom

=====

Ti2Be9Ir | GGA-PBE | optimized geometry

Unit cell a=4.3872 b=4.3872 c=21.1067 alpha=90.00 beta=90.00 gamma=120.00
With the nearest neighbours (Å) after each atom.
Space group R-3m (No. 166, hexagonal axes)
Asymmetric unit:
Ti 0.0000 0.0000 0.1460  12 Be 2.57-2.59, 3 Ti 2.68
Be 0.0000 0.0000 0.3344  6 Be 2.10-2.14
Be 0.0000 0.0000 0.5000  6 Be 2.21
Be 0.0012 0.5006 0.0805  7 Be 2.10-2.21
Ir 0.0000 0.0000 0.0000  18 Be 2.53-2.77

Crystal system = trigonal
DOS(E_F) = 0.4451 states/eV per atom
ΔE_f = -232 meV/atom
Magnetic moment = 0.15 μB per atom

=====

Ti4Be2Ir | GGA-PBE | optimized geometry

Unit cell a=4.7231 b=4.7231 c=11.7513 alpha=90.00 beta=90.00 gamma=90.00
With the nearest neighbours (Å) after each atom.
Space group I4/mmm (No. 139)
Asymmetric unit:
Ti 0.0000 0.0000 0.2088  1 Be 2.37, 1 Ir 2.45
Ti 0.0000 0.5000 0.0000  2 Ir 2.36, 4 Be 2.59
Be 0.0000 0.0000 0.4103  1 Be 2.11
Ir 0.0000 0.0000 0.0000  6 Ti 2.36-2.45

Crystal system = tetragonal
DOS(E_F) = 1.2427 states/eV per atom
ΔE_f = 550 meV/atom
Magnetic moment = 0.23 μB per atom

=====

Ti2Be2VIr5 | GGA-PBE | optimized geometry

Unit cell a=9.0620 b=9.0620 c=3.2886 alpha=90.00 beta=90.00 gamma=90.00
With the nearest neighbours (Å) after each atom.
Space group P4/mbm (No. 127)
Asymmetric unit:
Ti 0.1750 0.3250 0.0000  3 Be 2.60-2.73, 6 Ir 2.78-2.82
Be 0.1220 0.6220 0.0000  6 Ir 2.27-2.30
V 0.0000 0.0000 0.0000  8 Ir 2.58
Ir 0.0000 0.5000 0.5000  4 Be 2.27
Ir 0.0745 0.7934 0.5000  2 Be 2.30

Crystal system = tetragonal
DOS(E_F) = 0.6856 states/eV per atom
ΔE_f = -677 meV/atom
Magnetic moment = 0.00 μB per atom

=====

YTiBeIr2 | GGA-PBE | optimized geometry

Unit cell a=3.8949 b=3.8949 c=11.4415 alpha=90.00 beta=90.00 gamma=90.00
With the nearest neighbours (Å) after each atom.
Space group I-4m2 (No. 119)
Asymmetric unit:
Y 0.0000 0.0000 0.0000  8 Ir 3.06
Ti 0.0000 0.5000 0.2500  4 Ir 2.47, 4 Be 2.75
Be 0.0000 0.5000 0.7500  4 Ir 2.47, 4 Ti 2.75
Ir 0.0000 0.0000 0.3834  2 Be 2.47, 2 Ti 2.47, 1 Ir 2.67

Crystal system = tetragonal
DOS(E_F) = 0.6100 states/eV per atom
ΔE_f = -683 meV/atom
Magnetic moment = 0.00 μB per atom

=====

TiBe2ZnIr | GGA-PBE | optimized geometry

Unit cell a=4.2853 b=4.2853 c=4.6962 alpha=90.00 beta=90.00 gamma=90.00
With the nearest neighbours (Å) after each atom.
Space group P4/mmm (No. 123)
Asymmetric unit:
Ti 0.0000 0.0000 0.0000  2 Ir 2.35
Be 0.0000 0.5000 0.5000  2 Ir 2.14
Zn 0.5000 0.5000 0.0000  4 Ti 3.03, 8 Be 3.18
Ir 0.0000 0.0000 0.5000  4 Be 2.14, 2 Ti 2.35

Crystal system = tetragonal
DOS(E_F) = 0.7142 states/eV per atom
ΔE_f = 311 meV/atom
Magnetic moment = 0.00 μB per atom

=====

ZrTi2Be2Ir5 | GGA-PBE | optimized geometry

Unit cell a=9.3129 b=9.3129 c=3.3240 alpha=90.00 beta=90.00 gamma=90.00
With the nearest neighbours (Å) after each atom.
Space group P4/mbm (No. 127)
Asymmetric unit:
Zr 0.0000 0.0000 0.0000  8 Ir 2.70
Ti 0.1745 0.3255 0.0000  3 Be 2.71-2.79, 6 Ir 2.84-2.88
Be 0.1195 0.6195 0.0000  6 Ir 2.29-2.30
Ir 0.0000 0.5000 0.5000  4 Be 2.29
Ir 0.0761 0.7846 0.5000  2 Be 2.30

Crystal system = tetragonal
DOS(E_F) = 0.5643 states/eV per atom
ΔE_f = -717 meV/atom
Magnetic moment = 0.00 μB per atom

=====

Zr2TiBe2Ir5 | GGA-PBE | optimized geometry

Unit cell a=9.4117 b=9.4117 c=3.2944 alpha=90.00 beta=90.00 gamma=90.00
With the nearest neighbours (Å) after each atom.
Space group P4/mbm (No. 127)
Asymmetric unit:
Zr 0.1754 0.3246 0.0000  3 Be 2.72-2.83, 10 Ir 2.86-3.03
Ti 0.0000 0.0000 0.0000  8 Ir 2.67
Be 0.1206 0.6206 0.0000  6 Ir 2.30-2.33
Ir 0.0000 0.5000 0.5000  4 Be 2.30
Ir 0.0703 0.7883 0.5000  2 Be 2.33

Crystal system = tetragonal
DOS(E_F) = 0.4482 states/eV per atom
ΔE_f = -897 meV/atom
Magnetic moment = 0.00 μB per atom

=====

Be2TlIr | GGA-PBE | optimized geometry

Unit cell a=4.1794 b=4.1794 c=15.7198 alpha=90.00 beta=90.00 gamma=90.00
With the nearest neighbours (Å) after each atom.
Space group I-42d (No. 122)
Asymmetric unit:
Be 0.0013 0.2500 0.1250  2 Be 2.09, 2 Ir 2.23
Tl 0.0000 0.0000 0.5000  4 Ir 2.96, 8 Be 3.05-3.06
Ir 0.0000 0.0000 0.0000  4 Be 2.23

Crystal system = tetragonal
Energy relative to the lowest polymorph listed for this composition = 387 meV/atom
DOS(E_F) = 0.2030 states/eV per atom
ΔE_f = 333 meV/atom
Magnetic moment = 0.00 μB per atom

=====

Be2TlIr | GGA-PBE | optimized geometry

Unit cell a=2.9448 b=2.9448 c=6.9734 alpha=90.00 beta=90.00 gamma=90.00
With the nearest neighbours (Å) after each atom.
Space group P4/mmm (No. 123)
Asymmetric unit:
Be 0.0000 0.0000 0.1616  1 Be 2.25, 4 Ir 2.37
Tl 0.5000 0.5000 0.5000  4 Tl 2.94, 8 Be 3.15
Ir 0.5000 0.5000 0.0000  8 Be 2.37

Crystal system = tetragonal
Energy relative to the lowest polymorph listed for this composition = 6 meV/atom
DOS(E_F) = 0.4396 states/eV per atom
ΔE_f = -47 meV/atom
Magnetic moment = 0.00 μB per atom

=====

Be2TlIr | GGA-PBE | optimized geometry

Unit cell a=3.0279 b=3.0279 c=22.7531 alpha=90.00 beta=90.00 gamma=120.00
With the nearest neighbours (Å) after each atom.
Space group R3m (No. 160, hexagonal axes)
Asymmetric unit:
Be 0.0000 0.0000 0.0000  3 Ir 2.25, 3 Be 2.27
Be 0.0000 0.0000 0.2699  3 Be 2.27
Tl 0.0000 0.0000 0.5032  3 Be 2.87, 3 Ir 3.00, 6 Tl 3.03
Ir 0.0000 0.0000 0.7292  3 Be 2.25

Crystal system = trigonal
Energy relative to the lowest polymorph listed for this composition = 573 meV/atom
DOS(E_F) = 0.2306 states/eV per atom
ΔE_f = 520 meV/atom
Magnetic moment = 0.00 μB per atom

=====

BeTl2Ir | GGA-PBE | optimized geometry

Unit cell a=3.5388 b=4.1644 c=11.6511 alpha=90.00 beta=90.00 gamma=90.00
With the nearest neighbours (Å) after each atom.
Space group Imm2 (No. 44)
Asymmetric unit:
Be 0.0000 0.0000 0.0000  2 Ir 2.16
Tl 0.0000 0.0000 0.4210  4 Be 2.88, 2 Ir 3.00
Tl 0.0000 0.5000 0.1921  4 Ir 2.91, 2 Be 3.06
Ir 0.0000 0.5000 0.6060  2 Be 2.16

Crystal system = orthorhombic
Energy relative to the lowest polymorph listed for this composition = 255 meV/atom
DOS(E_F) = 0.3629 states/eV per atom
ΔE_f = 348 meV/atom
Magnetic moment = 0.00 μB per atom

=====

BeTl2Ir2 | GGA-PBE | optimized geometry

Unit cell a=3.5804 b=3.5804 c=16.7440 alpha=90.00 beta=90.00 gamma=90.00
With the nearest neighbours (Å) after each atom.
Space group I4/mmm (No. 139)
Asymmetric unit:
Be 0.0000 0.0000 0.0000  8 Tl 3.07
Tl 0.0000 0.0000 0.3965  4 Ir 3.04, 4 Be 3.07
Ir 0.0000 0.5000 0.2500  4 Ir 2.53

Crystal system = tetragonal
Energy relative to the lowest polymorph listed for this composition = 585 meV/atom
DOS(E_F) = 1.0634 states/eV per atom
ΔE_f = 844 meV/atom
Magnetic moment = 0.00 μB per atom

=====

BeTl4Ir | GGA-PBE | optimized geometry

Unit cell a=8.5978 b=8.5978 c=8.5978 alpha=90.00 beta=90.00 gamma=90.00
With the nearest neighbours (Å) after each atom.
Space group F-43m (No. 216)
Asymmetric unit:
Be 0.0000 0.0000 0.0000  12 Tl 3.57, 4 Ir 3.72
Tl 0.1246 0.1246 0.3754  6 Tl 3.03-3.05
Ir 0.2500 0.2500 0.7500  12 Tl 3.56, 4 Be 3.72

Crystal system = cubic
DOS(E_F) = 0.7460 states/eV per atom
ΔE_f = 1190 meV/atom
Magnetic moment = 0.00 μB per atom

=====

BeTl2Ir | GGA-PBE | optimized geometry

Unit cell a=3.2193 b=4.4381 c=5.3969 alpha=90.00 beta=90.00 gamma=90.00
With the nearest neighbours (Å) after each atom.
Space group Pmmm (No. 47)
Asymmetric unit:
Be 0.0000 0.0000 0.0000  4 Tl 2.74
Tl 0.0000 0.5000 0.5000  4 Ir 2.74
Tl 0.5000 0.5000 0.0000  4 Be 2.74
Ir 0.5000 0.0000 0.5000  4 Tl 2.74

Crystal system = orthorhombic
Energy relative to the lowest polymorph listed for this composition = 647 meV/atom
DOS(E_F) = 0.2729 states/eV per atom
ΔE_f = 739 meV/atom
Magnetic moment = 0.00 μB per atom

=====

Be2TlIr | GGA-PBE | optimized geometry

Unit cell a=5.8700 b=5.8854 c=3.1055 alpha=90.00 beta=90.00 gamma=90.00
With the nearest neighbours (Å) after each atom.
Space group Cmmm (No. 65)
Asymmetric unit:
Be 0.2500 0.2500 0.0000  4 Tl 2.59, 4 Ir 2.59
Tl 0.0000 0.0000 0.5000  8 Be 2.59
Ir 0.0000 0.5000 0.5000  8 Be 2.59

Crystal system = orthorhombic
Energy relative to the lowest polymorph listed for this composition = 335 meV/atom
DOS(E_F) = 0.4825 states/eV per atom
ΔE_f = 282 meV/atom
Magnetic moment = 0.00 μB per atom